Density functional theory data (PBE+U) for a relaxed structure of LiMn3O.

Volume = 95 Å³ per cell
E_tot = -4.74 eV per atom
Calculated density = 3.29 g cm⁻³
N(E_F) = 4.452 states/eV/cell
Symmetry = Pm-3m (221)

Structure (extended XYZ):
```
5
Lattice="4.5607 0.0000 0.0000 0.0000 4.5607 0.0000 0.0000 0.0000 4.5607" Properties=species:S:1:pos:R:3 pbc="T T T"
Li 0.0000 0.0000 0.0000
Mn 0.0000 0.0000 2.2804
Mn 0.0000 2.2804 0.0000
Mn 2.2804 0.0000 0.0000
O 2.2804 2.2804 2.2804
```